VASP calculation (PBE) on crystalline Sm3TePdBr at its relaxed geometry.

**Crystal system**: monoclinic
**D(E_F)**: 3.675 states/eV/f.u.
**Space-group type**: P2_1/m (11)

Cell lengths 4.140, 7.447, 12.158 Å; angles 113.77, 90.00, 90.00 degrees
Fractional coordinates of all 12 atoms:
Br  0.250  0.148  0.628
Sm  0.750  0.895  0.109
Pd  0.750  0.399  0.927
Te  0.250  0.248  0.301
Pd  0.250  0.601  0.073
Sm  0.250  0.554  0.818
Sm  0.250  0.105  0.891
Sm  0.750  0.446  0.182
Te  0.750  0.752  0.699
Br  0.750  0.852  0.372
Sm  0.750  0.301  0.506
Sm  0.250  0.699  0.494

***

VASP calculation (PBE) on crystalline PuHf2Cd at its relaxed geometry.

**Crystal system**: tetragonal
**Excess energy over the best structure of this formula in the dataset**: 55 meV/atom
**D(E_F)**: 4.951 states/eV/f.u.
**Formation energy**: 113 meV/atom
**Space-group type**: P4/mmm (123)

Cell lengths 3.276, 5.170, 5.170 Å; angles 90.00, 90.00, 90.00 degrees
Last column: magnetic moment on the atom in μB.
Fractional coordinates of all 4 atoms:
Hf  0.000  0.000  0.500  0.12
Pu  0.500  0.500  0.500  5.10
Cd  0.500  0.000  0.000  -0.01
Hf  0.000  0.500  0.000  0.12

***

Number 1: calculated total energy -60.80 eV for the cell shown. Number 2: calculated total energy -34.70 eV for the cell shown.